The following is a PBE calculation of a geometry-optimized TbGdB2P2Ir2 structure, from OQMD.

Values from the calculation:
ρ   10.00 g/cm3
Uncorrected energy   -7.3559 eV per atom
Symmetry   P4mm, No. 99

```
TbGdB2P2Ir2
1.0
3.951 0.000 0.000
0.000 3.951 0.000
0.000 0.000 8.342
Ir P Tb B Gd
2 2 1 2 1
Direct
0.000 0.500 0.500 Ir
0.500 0.000 0.500 Ir
0.000 0.000 0.147 P
0.500 0.500 0.852 P
0.000 0.000 0.806 Tb
0.000 0.000 0.387 B
0.500 0.500 0.613 B
0.500 0.500 0.195 Gd
```


The following is a PBE calculation of a geometry-optimized K2Gd2B3 structure, from OQMD.

Values from the calculation:
ρ   3.14 g/cm3
Uncorrected energy   -3.7391 eV per atom
Symmetry   Cmmm, No. 65

```
K2Gd2B3
1.0
-5.270 -2.279 -7.887
3.118 0.167 9.243
-4.398 5.371 1.387
Gd K B
2 2 3
Direct
0.867 0.133 0.000 Gd
0.133 0.867 0.000 Gd
0.397 0.603 0.500 K
0.603 0.397 0.500 K
0.736 0.264 0.000 B
0.264 0.736 0.000 B
0.000 0.000 0.000 B
```


- Which formula does entry 2 have?
  K2Gd2B3


- Look up the ρ of the first one.
  10.00 g/cm3


- Which formula does entry 2 have?
  K2Gd2B3


- Which formula does entry 1 have?
  TbGdB2P2Ir2